Computed, not measured: crystalline Cu2Ag3 at its relaxed geometry at the GGA-PBE level of DFT.

Values from the calculation:
The energy above the most stable polymorph in this dataset comes out at 47 meV per atom. The calculation puts the total energy at -3.1023 eV/atom.

a b c (Å): 6.008 6.008 9.392
angles (deg): 99.31 99.31 27.57
Fractional coordinates of all 10 atoms:
Ag: 0.541 0.541 0.148
Ag: 0.257 0.257 0.243
Ag: 0.641 0.641 0.453
Ag: 0.359 0.359 0.547
Ag: 0.743 0.743 0.757
Ag: 0.459 0.459 0.852
Cu: 0.843 0.843 0.041
Cu: 0.949 0.949 0.347
Cu: 0.051 0.051 0.653
Cu: 0.157 0.157 0.959